# 1
CaSiBr, optimized geometry, DFT GGA-PBE; density = 2.75 g/cm3; DOS(E_F) = 3.2 states/eV/cell; ΔE_f (raw) = 0.1081 eV per atom; space group = F-43m; crystal system = cubic
1.0
0.0000 3.5484 3.5484
3.5484 0.0000 3.5484
3.5484 3.5484 0.0000
Ca Si Br
1 1 1
Direct
0.0000 0.0000 0.0000 Ca
0.7500 0.7500 0.7500 Si
0.5000 0.5000 0.5000 Br

---

# 2
CaSiBr2, optimized geometry, DFT GGA-PBE; density = 3.51 g/cm3; DOS(E_F) = 3.4 states/eV/cell; ΔE_f (raw) = -0.1729 eV per atom; space group = F-43m; crystal system = cubic
1.0
0.0000 3.7784 3.7784
3.7784 0.0000 3.7784
3.7784 3.7784 0.0000
Ca Si Br
1 1 2
Direct
0.0000 0.0000 0.0000 Ca
0.2500 0.2500 0.2500 Si
0.5000 0.5000 0.5000 Br
0.7500 0.7500 0.7500 Br

---

# 3
CaSiBr, optimized geometry, DFT GGA-PBE; density = 2.56 g/cm3; DOS(E_F) = 1.3 states/eV/cell; ΔE_f (raw) = -0.3095 eV per atom; space group = P3m1; crystal system = trigonal
1.0
3.7808 0.0000 0.0000
-1.8904 3.2742 0.0000
0.0000 0.0000 7.7528
Ca Si Br
1 1 1
Direct
0.0000 0.0000 0.0000 Ca
0.6667 0.3333 0.2877 Si
0.3333 0.6667 0.7672 Br

---

# 4
CaSiBr2, optimized geometry, DFT GGA-PBE; density = 3.18 g/cm3; DOS(E_F) = 1.0 states/eV/cell; ΔE_f (raw) = -0.5383 eV per atom; space group = Cmm2; crystal system = orthorhombic
1.0
2.2867 -2.9465 0.0000
2.2867 2.9465 0.0000
0.0000 0.0000 8.8215
Ca Si Br
1 1 2
Direct
0.0000 0.0000 0.0000 Ca
0.5000 0.5000 0.2349 Si
0.0000 0.0000 0.3819 Br
0.5000 0.5000 0.8083 Br

---

# 5
Ca2SiBr, optimized geometry, DFT GGA-PBE; density = 2.70 g/cm3; DOS(E_F) = 1.0 states/eV/cell; ΔE_f (raw) = -0.8234 eV per atom; space group = Imm2; crystal system = orthorhombic
1.0
-1.8881 1.9563 7.8413
1.8881 -1.9563 7.8413
1.8881 1.9563 -7.8413
Ca Si Br
2 1 1
Direct
0.0000 0.0000 0.0000 Ca
0.7802 0.2802 0.5000 Ca
0.3630 0.8630 0.5000 Si
0.6064 0.6064 0.0000 Br

---

# 6
CaSiBr2, optimized geometry, DFT GGA-PBE; density = 3.19 g/cm3; DOS(E_F) = 2.4 states/eV/cell; ΔE_f (raw) = -0.4697 eV per atom; space group = I-42d; crystal system = tetragonal
1.0
-2.5263 2.5263 9.2836
2.5263 -2.5263 9.2836
2.5263 2.5263 -9.2836
Ca Si Br
2 2 4
Direct
0.0000 0.0000 0.0000 Ca
0.7500 0.2500 0.5000 Ca
0.2500 0.7500 0.5000 Si
0.5000 0.5000 0.0000 Si
0.1373 0.6250 0.0123 Br
0.3750 0.3873 0.5123 Br
0.6127 0.1250 0.9877 Br
0.8750 0.8627 0.4877 Br

---

# 7
CaSiBr, optimized geometry, DFT GGA-PBE; density = 3.08 g/cm3; DOS(E_F) = 2.2 states/eV/cell; ΔE_f (raw) = -0.1307 eV per atom; space group = P-6m2; crystal system = hexagonal
1.0
4.9456 0.0000 0.0000
-2.4728 4.2831 0.0000
0.0000 0.0000 3.7682
Ca Si Br
1 1 1
Direct
0.0000 0.0000 0.0000 Ca
0.6667 0.3333 0.5000 Si
0.3333 0.6667 0.0000 Br

---

# 8
Ca2Si2Br, optimized geometry, DFT GGA-PBE; density = 2.65 g/cm3; DOS(E_F) = 1.7 states/eV/cell; ΔE_f (raw) = -0.6877 eV per atom; space group = P4/mbm; crystal system = tetragonal
1.0
8.0321 0.0000 0.0000
0.0000 8.0321 0.0000
0.0000 0.0000 4.2030
Ca Si Br
4 4 2
Direct
0.1846 0.3154 0.0000 Ca
0.3154 0.8154 0.0000 Ca
0.6846 0.1846 0.0000 Ca
0.8154 0.6846 0.0000 Ca
0.0974 0.5974 0.5000 Si
0.4026 0.0974 0.5000 Si
0.5974 0.9026 0.5000 Si
0.9026 0.4026 0.5000 Si
0.0000 0.0000 0.0000 Br
0.5000 0.5000 0.0000 Br

---

# 9
CaSiBr, optimized geometry, DFT GGA-PBE; density = 2.82 g/cm3; DOS(E_F) = 1.3 states/eV/cell; ΔE_f (raw) = -0.3569 eV per atom; space group = Imm2; crystal system = orthorhombic
1.0
-1.9567 1.9748 5.6402
1.9567 -1.9748 5.6402
1.9567 1.9748 -5.6402
Ca Si Br
1 1 1
Direct
0.0000 0.0000 0.0000 Ca
0.3997 0.3997 0.0000 Si
0.6382 0.6382 0.0000 Br

---

# 10
CaSiBr2, optimized geometry, DFT GGA-PBE; density = 3.02 g/cm3; DOS(E_F) = 1.8 states/eV/cell; ΔE_f (raw) = -0.4917 eV per atom; space group = R3m; crystal system = trigonal
1.0
1.9357 1.1176 9.6620
-1.9357 1.1176 9.6620
0.0000 -2.2352 9.6620
Ca Si Br
1 1 2
Direct
0.0000 0.0000 0.0000 Ca
0.2529 0.2529 0.2529 Si
0.5280 0.5280 0.5280 Br
0.7282 0.7282 0.7282 Br

---

# 11
CaSiBr2, optimized geometry, DFT GGA-PBE; density = 2.56 g/cm3; DOS(E_F) = 1.8 states/eV/cell; ΔE_f (raw) = -0.5687 eV per atom; space group = P4/mmm; crystal system = tetragonal
1.0
3.4725 0.0000 0.0000
0.0000 3.4725 0.0000
0.0000 0.0000 12.2756
Ca Si Br
1 1 2
Direct
0.0000 0.0000 0.0000 Ca
0.0000 0.0000 0.5000 Si
0.5000 0.5000 0.1407 Br
0.5000 0.5000 0.8593 Br

---

# 12
Ca2Si2Br, optimized geometry, DFT GGA-PBE; density = 2.91 g/cm3; DOS(E_F) = 2.2 states/eV/cell; ΔE_f (raw) = -0.5999 eV per atom; space group = I4/mmm; crystal system = tetragonal
1.0
-1.8991 1.8991 8.5562
1.8991 -1.8991 8.5562
1.8991 1.8991 -8.5562
Ca Si Br
2 2 1
Direct
0.1189 0.1189 0.0000 Ca
0.8811 0.8811 0.0000 Ca
0.2500 0.7500 0.5000 Si
0.7500 0.2500 0.5000 Si
0.5000 0.5000 0.0000 Br

---

# 13
Ca2SiBr, optimized geometry, DFT GGA-PBE; density = 2.96 g/cm3; DOS(E_F) = 2.9 states/eV/cell; ΔE_f (raw) = -0.8429 eV per atom; space group = Amm2; crystal system = orthorhombic
1.0
5.0659 0.0000 0.0000
0.0000 1.7999 5.7956
0.0000 -1.7999 5.7956
Ca Si Br
2 1 1
Direct
0.0000 0.0000 0.0000 Ca
0.5000 0.2448 0.2448 Ca
0.0000 0.7358 0.7358 Si
0.5000 0.4957 0.4957 Br

---

# 14
CaSiBr2, optimized geometry, DFT GGA-PBE; density = 3.81 g/cm3; DOS(E_F) = 1.6 states/eV/cell; ΔE_f (raw) = -0.4633 eV per atom; space group = P4/mmm; crystal system = tetragonal
1.0
4.8852 0.0000 0.0000
0.0000 4.8852 0.0000
0.0000 0.0000 4.1580
Ca Si Br
1 1 2
Direct
0.0000 0.0000 0.0000 Ca
0.5000 0.5000 0.0000 Si
0.0000 0.5000 0.5000 Br
0.5000 0.0000 0.5000 Br

---

# 15
Ca2SiBr2, optimized geometry, DFT GGA-PBE; density = 2.80 g/cm3; DOS(E_F) = 1.0 states/eV/cell; ΔE_f (raw) = -1.1606 eV per atom; space group = C2/m; crystal system = monoclinic
1.0
3.4428 -1.9878 0.0000
3.4428 1.9878 0.0000
-2.2677 0.0000 11.6134
Ca Si Br
2 1 2
Direct
0.1050 0.1050 0.3128 Ca
0.8950 0.8950 0.6872 Ca
0.5000 0.5000 0.5000 Si
0.2767 0.2767 0.8340 Br
0.7233 0.7233 0.1660 Br

---

# 16
Ca3SiBr, optimized geometry, DFT GGA-PBE; density = 2.05 g/cm3; DOS(E_F) = 3.7 states/eV/cell; ΔE_f (raw) = -0.5368 eV per atom; space group = Pm-3m; crystal system = cubic
1.0
5.6961 0.0000 0.0000
0.0000 5.6961 0.0000
0.0000 0.0000 5.6961
Ca Si Br
3 1 1
Direct
0.0000 0.0000 0.5000 Ca
0.0000 0.5000 0.0000 Ca
0.5000 0.0000 0.0000 Ca
0.0000 0.0000 0.0000 Si
0.5000 0.5000 0.5000 Br

---

# 17
CaSiBr2, optimized geometry, DFT GGA-PBE; density = 3.75 g/cm3; DOS(E_F) = 4.8 states/eV/cell; ΔE_f (raw) = -0.4126 eV per atom; space group = Fm-3m; crystal system = cubic
1.0
0.0000 3.6955 3.6955
3.6955 0.0000 3.6955
3.6955 3.6955 0.0000
Ca Si Br
1 1 2
Direct
0.0000 0.0000 0.0000 Ca
0.5000 0.5000 0.5000 Si
0.2500 0.2500 0.2500 Br
0.7500 0.7500 0.7500 Br

---

# 18
CaSiBr2, optimized geometry, DFT GGA-PBE; density = 3.67 g/cm3; DOS(E_F) = 1.4 states/eV/cell; ΔE_f (raw) = -0.5940 eV per atom; space group = Pmmm; crystal system = orthorhombic
1.0
3.7441 0.0000 0.0000
0.0000 4.4990 0.0000
0.0000 0.0000 6.1227
Ca Si Br
1 1 2
Direct
0.0000 0.0000 0.0000 Ca
0.5000 0.0000 0.5000 Si
0.0000 0.5000 0.5000 Br
0.5000 0.5000 0.0000 Br

---

# 19
CaSiBr2, optimized geometry, DFT GGA-PBE; density = 3.27 g/cm3; DOS(E_F) = 1.5 states/eV/cell; ΔE_f (raw) = -0.5837 eV per atom; space group = C2/m; crystal system = monoclinic
1.0
3.4365 -4.1099 0.0000
3.4365 4.1099 0.0000
-3.4193 0.0000 4.0987
Ca Si Br
1 1 2
Direct
0.0000 0.0000 0.0000 Ca
0.5000 0.5000 0.0000 Si
0.0000 0.5000 0.5000 Br
0.5000 0.0000 0.5000 Br

---

# 20
Ca5SiBr5, optimized geometry, DFT GGA-PBE; density = 3.12 g/cm3; DOS(E_F) = 4.0 states/eV/cell; ΔE_f (raw) = -1.4742 eV per atom; space group = C2/m; crystal system = monoclinic
1.0
6.8995 -2.9763 0.0000
6.8995 2.9763 0.0000
-2.7283 0.0000 8.1461
Ca Si Br
5 1 5
Direct
0.0000 0.0000 0.0000 Ca
0.3491 0.3491 0.1580 Ca
0.3496 0.3496 0.6890 Ca
0.6504 0.6504 0.3110 Ca
0.6509 0.6509 0.8420 Ca
0.5000 0.5000 0.0000 Si
0.1726 0.1726 0.8319 Br
0.1874 0.1874 0.3424 Br
0.5000 0.5000 0.5000 Br
0.8126 0.8126 0.6576 Br
0.8274 0.8274 0.1681 Br